Record 1
5
Lattice="4.297 0.000 0.000 0.000 4.297 0.000 0.000 0.000 5.348" Properties=species:S:1:pos:R:3 comment="SbPbSN2, optimized geometry, DFT PBE" magnetic_moment_mub_per_atom=0.22 total_energy_ev_per_cell=-20.83 space_group="No. 123" formation_energy_uncorrected_ev_per_atom=1.556 e_above_lowest_polymorph_ev_per_atom=0.724 pbc="T T T"
N 0.000 2.148 0.000
N 2.148 0.000 0.000
S 0.000 0.000 2.674
Sb 2.148 2.148 2.674
Pb 0.000 0.000 0.000


Record 2
5
Lattice="4.293 0.000 0.000 0.000 4.293 0.000 0.000 0.000 5.097" Properties=species:S:1:pos:R:3 comment="ScPbSN2, optimized geometry, DFT PBE" magnetic_moment_mub_per_atom=0.57 total_energy_ev_per_cell=-29.59 space_group="No. 123" formation_energy_uncorrected_ev_per_atom=0.245 e_above_lowest_polymorph_ev_per_atom=0.000 pbc="T T T"
Pb 2.146 2.146 2.549
Sc 0.000 0.000 0.000
N 0.000 2.146 0.000
N 2.146 0.000 0.000
S 0.000 0.000 2.549


Record 3
5
Lattice="-4.138 0.205 0.460 -0.103 -4.072 0.888 0.627 1.106 5.144" Properties=species:S:1:pos:R:3 comment="ScPbSN2, optimized geometry, DFT PBE" magnetic_moment_mub_per_atom=0.05 total_energy_ev_per_cell=-26.03 space_group="No. 123" formation_energy_uncorrected_ev_per_atom=0.959 e_above_lowest_polymorph_ev_per_atom=0.713 pbc="T T T"
N -2.069 0.102 0.230
N -0.051 -2.036 0.444
Pb 0.000 0.000 0.000
Sc -1.807 -1.381 3.246
S 0.313 0.553 2.572